Below is a relaxed structure of Nd4HgBiC, with properties calculated at the PBE level.

Properties
The calculation puts the formation energy at -432 meV per atom. For the total energy, the calculation gives -5.072 eV/atom. For the total moment, the calculation gives 0.00 μB per cell.

a b c (Å): 7.1560 16.1545 7.1530
angles (deg): 90.00 90.00 90.00
Closest atoms and distances in Å follow each position.
Space group Cmcm (No. 63)
Asymmetric unit:
Nd (0.0000, 0.0830, 0.2500)  1 C 2.68
Nd (0.0000, 0.4084, 0.2500)  1 C 2.57
Nd (0.2500, 0.2500, 0.0000)  2 C 2.53
Hg (0.0000, 0.1163, 0.7500)  7 Nd 3.22-3.60
Bi (0.0000, 0.3905, 0.7500)  9 Nd 3.25-3.60
C (0.0000, 0.2491, 0.2500)  6 Nd 2.53-2.68

Below is a relaxed structure of NaSm6S8, with properties calculated at the PBE level.

Properties
For the total energy, the calculation gives -5.936 eV/atom. For the total moment, the calculation gives 0.00 μB per cell. For the offset from the most stable computed form, the calculation gives 216.2 meV/atom.

a b c (Å): 12.0247 12.0247 11.8637
angles (deg): 90.00 90.00 120.00
Closest atoms and distances in Å follow each position.
Space group R-3 (No. 148, hexagonal axes)
Asymmetric unit:
Na (0.0000, 0.0000, 0.0000)  2 S 2.69
Sm (0.0008, 0.8174, 0.6328)  5 S 2.74-2.83
S (0.0000, 0.0000, 0.2265)  1 Na 2.69, 3 Sm 2.76
S (0.0023, 0.2592, 0.5908)  4 Sm 2.74-2.83

Below is a relaxed structure of K3AcBr8, with properties calculated at the PBE level.

Properties
For the total energy, the calculation gives -3.173 eV/atom. For the total moment, the calculation gives 2.00 μB per cell.

a b c (Å): 7.4981 7.4981 16.4207
angles (deg): 90.00 90.00 90.00
Closest atoms and distances in Å follow each position.
Space group I4/mmm (No. 139)
Asymmetric unit:
K (0.0000, 0.0000, 0.0000)  8 Br 3.38
K (0.0000, 0.5000, 0.2500)  8 Br 3.44
Ac (0.0000, 0.0000, 0.5000)  8 Br 3.17
Br (0.2378, 0.2378, 0.3832)  1 Ac 3.17, 3 K 3.38-3.44

Below is a relaxed structure of SnPN2O, with properties calculated at the PBE level.

Properties
For the total energy, the calculation gives -6.021 eV/atom. For the total moment, the calculation gives 0.08 μB per cell.

a b c (Å): 3.7255 3.7255 3.4878
angles (deg): 90.00 90.00 90.00
Closest atoms and distances in Å follow each position.
Space group P4/mmm (No. 123)
Asymmetric unit:
Sn (0.0000, 0.0000, 0.0000)  8 N 2.55, 4 O 2.63
P (0.5000, 0.5000, 0.5000)  2 O 1.74, 4 N 1.86
N (0.0000, 0.5000, 0.5000)  2 P 1.86
O (0.5000, 0.5000, 0.0000)  2 P 1.74

Below is a relaxed structure of SiS2I, with properties calculated at the PBE level.

Properties
For the total energy, the calculation gives -4.139 eV/atom. For the total moment, the calculation gives 0.00 μB per cell. For the offset from the most stable computed form, the calculation gives 0.0 meV/atom.

a b c (Å): 3.3169 3.3169 36.2683
angles (deg): 90.00 90.00 120.00
Closest atoms and distances in Å follow each position.
Space group R-3m (No. 166, hexagonal axes)
Asymmetric unit:
Si (0.0000, 0.0000, 0.0000)  6 S 2.33
S (0.0000, 0.0000, 0.3697)  3 Si 2.33
I (0.0000, 0.0000, 0.5000)  6 I 3.32

Below is a relaxed structure of PrZn4Cd, with properties calculated at the PBE level.

Properties
The calculation puts the formation energy at -163 meV per atom. For the total energy, the calculation gives -1.962 eV/atom. For the total moment, the calculation gives 0.00 μB per cell.

a b c (Å): 8.1868 16.4952 3.6538
angles (deg): 90.00 90.00 90.00
Closest atoms and distances in Å follow each position.
Space group Pbam (No. 55)
Asymmetric unit:
Pr (0.1205, 0.1590, 0.0000)  12 Zn 3.23-3.43
Zn (0.0312, 0.6937, 0.5000)  3 Zn 2.41-2.59
Zn (0.1177, 0.9564, 0.5000)  3 Zn 2.41-2.57
Zn (0.1382, 0.5504, 0.5000)  3 Zn 2.52-2.81
Zn (0.2153, 0.8080, 0.5000)  3 Zn 2.41-2.59
Cd (0.1291, 0.4130, 0.0000)  10 Zn 2.82-2.91

Below is a relaxed structure of LiSmGa2Pd2, with properties calculated at the PBE level.

Properties
The calculation puts the formation energy at -721 meV per atom. For the total energy, the calculation gives -4.567 eV/atom. For the total moment, the calculation gives 0.00 μB per cell.

a b c (Å): 4.4044 4.4044 6.5649
angles (deg): 90.00 90.00 120.00
Closest atoms and distances in Å follow each position.
Space group P-3m1 (No. 164)
Asymmetric unit:
Li (0.0000, 0.0000, 0.0000)  6 Ga 2.84, 6 Pd 2.88
Sm (0.0000, 0.0000, 0.5000)  6 Pd 3.19, 6 Ga 3.25, 2 Li 3.28
Ga (0.3333, 0.6667, 0.8075)  4 Pd 2.54-2.62, 3 Li 2.84
Pd (0.3333, 0.6667, 0.2065)  4 Ga 2.54-2.62

Below is a relaxed structure of Pa6Tc3Os, with properties calculated at the PBE level.

Properties
The calculation puts the formation energy at 24 meV per atom. For the total energy, the calculation gives -9.907 eV/atom. For the total moment, the calculation gives 0.00 μB per cell.

a b c (Å): 11.9622 11.9622 11.8105
angles (deg): 90.00 90.00 120.00
Closest atoms and distances in Å follow each position.
Space group R-3 (No. 148, hexagonal axes)
Asymmetric unit:
Pa (0.0197, 0.8088, 0.3843)  1 Tc 2.49, 1 Os 2.77
Pa (0.0691, 0.8538, 0.8722)  1 Os 2.73, 2 Tc 2.75-3.02, 1 Pa 2.77
Tc (0.0305, 0.7498, 0.6337)  2 Pa 2.49-2.75
Os (0.0000, 0.0000, 0.0000)  6 Pa 2.73
Os (0.0000, 0.0000, 0.5000)  6 Pa 2.77